# 1
VASP calculation (PBE) on a geometry-optimized BeV4Ge2 structure.

Properties
Calculated formation energy ... 22.9 kJ/mol of atoms
Total moment ... 1.66 μB/cell
Total DFT energy (no corrections) ... -47.8 eV per cell
Density ... 5.8 g/cm³

Unit cell a=7.087 b=7.087 c=7.087 alpha=147.52 beta=147.52 gamma=46.59
Atoms (fractional coordinates):
Be (0.000, 0.000, 0.000)
V (0.000, 0.500, 0.500)
V (0.165, 0.165, 0.000)
V (0.500, 0.000, 0.500)
V (0.835, 0.835, 0.000)
Ge (0.360, 0.360, 0.000)
Ge (0.640, 0.640, 0.000)

# 2
VASP calculation (PBE) on a geometry-optimized TbZrRe structure.

Properties
Calculated formation energy ... 2.0 kJ/mol of atoms
Total moment ... 0.00 μB/cell
Total DFT energy (no corrections) ... -102.3 eV per cell
Density ... 10.6 g/cm³

Unit cell a=11.440 b=10.583 c=5.722 alpha=83.43 beta=66.78 gamma=29.79
Atoms (fractional coordinates):
Tb (0.034, 0.716, 0.034)
Tb (0.284, 0.966, 0.284)
Tb (0.716, 0.034, 0.716)
Tb (0.966, 0.284, 0.966)
Zr (0.287, 0.287, 0.463)
Zr (0.463, 0.463, 0.287)
Zr (0.537, 0.537, 0.713)
Zr (0.713, 0.713, 0.537)
Re (0.001, 0.001, 0.249)
Re (0.249, 0.249, 0.001)
Re (0.751, 0.751, 0.999)
Re (0.999, 0.999, 0.751)

# 3
VASP calculation (PBE) on a geometry-optimized Rb3Nd3TaO8 structure.

Properties
Total moment ... 0.00 μB/cell
Energy relative to the elements, uncorrected ... -2584 meV/atom
Total DFT energy (no corrections) ... -107.5 eV per cell
Density ... 5.7 g/cm³

Unit cell a=7.878 b=7.878 c=7.878 alpha=53.29 beta=53.29 gamma=53.29
Atoms (fractional coordinates):
Rb (0.000, 0.500, 0.500)
Rb (0.500, 0.000, 0.500)
Rb (0.500, 0.500, 0.000)
Nd (0.000, 0.000, 0.500)
Nd (0.000, 0.500, 0.000)
Nd (0.500, 0.000, 0.000)
Ta (0.500, 0.500, 0.500)
O (0.229, 0.229, 0.229)
O (0.271, 0.695, 0.695)
O (0.305, 0.305, 0.729)
O (0.305, 0.729, 0.305)
O (0.695, 0.271, 0.695)
O (0.695, 0.695, 0.271)
O (0.729, 0.305, 0.305)
O (0.771, 0.771, 0.771)

# 4
VASP calculation (PBE) on a geometry-optimized RbNaF2 structure.

Properties
Total moment ... 0.13 μB/cell
Energy relative to the elements, uncorrected ... -2607 meV/atom
Total DFT energy (no corrections) ... -16.5 eV per cell
Density ... 3.4 g/cm³

Unit cell a=6.638 b=6.638 c=6.638 alpha=31.49 beta=31.49 gamma=31.49
Atoms (fractional coordinates):
Rb (0.000, 0.000, 0.000)
Na (0.170, 0.170, 0.170)
F (0.571, 0.571, 0.571)
F (0.766, 0.766, 0.766)

# 5
VASP calculation (PBE) on a geometry-optimized Ba2PtBr structure.

Properties
Total moment ... 0.00 μB/cell
Energy relative to the elements, uncorrected ... -1057 meV/atom
Total DFT energy (no corrections) ... -15.8 eV per cell
Density ... 7.2 g/cm³

Unit cell a=5.674 b=5.674 c=3.925 alpha=90.11 beta=90.11 gamma=90.00
Atoms (fractional coordinates):
Ba (0.000, 0.500, 0.000)
Ba (0.500, 0.000, 0.000)
Pt (0.000, 0.000, 0.500)
Br (0.500, 0.500, 0.500)

# 6
VASP calculation (PBE) on a geometry-optimized Be2CoB2 structure.

Properties
Calculated formation energy ... -0.4 kJ/mol of atoms
Total moment ... 0.00 μB/cell
Total DFT energy (no corrections) ... -27.9 eV per cell
Density ... 4.4 g/cm³

Unit cell a=4.751 b=4.751 c=4.751 alpha=143.70 beta=143.70 gamma=52.27
Atoms (fractional coordinates):
Be (0.250, 0.750, 0.500)
Be (0.750, 0.250, 0.500)
Co (0.000, 0.000, 0.000)
B (0.404, 0.404, 0.000)
B (0.596, 0.596, 0.000)

Look up the total moment of the fifth one.
0.00 μB/cell

Which of these has the highest total DFT energy (no corrections)?
Ba2PtBr